{"formula": "HgAu2Se", "functional": "GGA-PBE", "state": "relaxed", "spacegroup": "Cmmm, No. 65", "raw_formation_energy_ev_per_fu": 0.9, "lattice_angstrom": [[3.2774, -0.5591, 0.0000], [-1.6185, 2.9042, 0.0000], [0.0000, 0.0000, 9.8333]], "species": ["Au", "Au", "Se", "Hg"], "frac_coords": [[0.0000, 0.0000, 0.5048], [0.0000, 0.0000, 0.9952], [0.5000, 0.5000, 0.7500], [0.5000, 0.5000, 0.2500]]}